A plane-wave DFT calculation with PBE was carried out for a relaxed structure of GaNiAsP2.

Values from the calculation:
Crystal system: tetragonal
DOS at the Fermi energy in states/eV/atom: 0.5603
M_tot in μB per cell: 0.00
Formation energy from the elements in eV/atom: 1.21
Volume in Å³/atom: 20.56

extended XYZ file:
```
5
Lattice="4.594 0.000 0.000 0.000 4.594 0.000 0.000 0.000 4.870" Properties=species:S:1:pos:R:3 pbc="T T T"
Ga 0.000 0.000 0.000
Ni 2.297 2.297 2.435
As 0.000 0.000 2.435
P 0.000 2.297 0.000
P 2.297 0.000 0.000
```